Compound: Pr8Os3RuBr4
Source: the Alexandria database
Functional: GGA-PBE
Structure: relaxed

The structure in POSCAR format:
```
Pr8Os3RuBr4
1.0
8.333 0.000 0.000
0.000 9.189 0.597
-4.167 -4.162 5.893
Pr Os Ru Br
8 3 1 4
direct
0.233 0.697 0.965
0.233 0.697 0.465
0.267 0.302 0.535
0.732 0.697 0.965
0.268 0.303 0.035
0.733 0.698 0.465
0.767 0.303 0.535
0.767 0.303 0.035
0.500 0.500 0.000
0.500 0.500 0.500
0.000 0.500 0.500
0.000 0.500 0.000
0.500 0.000 0.000
0.500 0.000 0.500
0.000 0.000 0.000
0.000 0.000 0.500
```

Results
Formation energy without anion corrections   -0.6382 eV per atom
E_tot   -6.132 eV/atom
Calculated volume   29.495 Å³/atom

Compound: KIrSe2
Source: the Alexandria database
Functional: GGA-PBE
Structure: relaxed

The structure in POSCAR format:
```
KIrSe2
1.0
10.748 0.000 -0.002
0.000 3.663 0.000
-9.831 0.000 13.718
K Ir Se
4 4 8
direct
0.500 0.500 0.500
0.500 0.000 0.000
0.000 0.000 0.000
0.000 0.500 0.500
0.613 0.000 0.821
0.387 0.000 0.179
0.613 0.500 0.321
0.387 0.500 0.679
0.299 0.000 0.552
0.701 0.000 0.448
0.299 0.500 0.052
0.701 0.500 0.948
0.337 0.000 0.756
0.663 0.000 0.244
0.337 0.500 0.256
0.663 0.500 0.744
```

Results
Formation energy without anion corrections   -0.5132 eV per atom
E_tot   -4.745 eV/atom
Calculated volume   33.752 Å³/atom

Compound: Ca2AlRuRh
Source: the Alexandria database
Functional: GGA-PBE
Structure: relaxed

The structure in POSCAR format:
```
Ca2AlRuRh
1.0
-4.903 1.899 0.548
-1.308 -3.962 2.028
1.298 1.989 4.723
Ru Ca Rh Al
1 2 1 1
direct
0.500 0.500 0.500
0.000 0.000 0.500
0.500 0.000 0.000
0.000 0.000 0.000
0.000 0.500 0.000
```

Results
Calculated formation energy   0.413 eV/atom
E_tot   -4.462 eV/atom
Calculated volume   25.927 Å³/atom

Compound: BaZnPtS2
Source: the Alexandria database
Functional: GGA-PBE
Structure: relaxed

The structure in POSCAR format:
```
BaZnPtS2
1.0
5.794 0.000 0.000
0.000 6.174 0.000
0.000 0.000 5.794
S Zn Ba Pt
2 1 1 1
direct
0.000 0.000 0.500
0.500 0.000 0.000
0.000 0.500 0.000
0.000 0.000 0.000
0.500 0.500 0.500
```

Results
Formation energy without anion corrections   1.0764 eV per atom
E_tot   -2.422 eV/atom
Calculated volume   41.454 Å³/atom

Compound: AcPrUO6
Source: the Alexandria database
Functional: GGA-PBE
Structure: relaxed

The structure in POSCAR format:
```
AcPrUO6
1.0
6.176 0.000 0.000
-3.088 5.348 0.000
0.000 0.000 9.335
Ac Pr U O
2 2 2 12
direct
0.333 0.667 0.250
0.667 0.333 0.750
0.000 0.000 0.000
0.000 0.000 0.500
0.667 0.333 0.250
0.333 0.667 0.750
0.680 0.631 0.132
0.951 0.320 0.132
0.320 0.951 0.632
0.049 0.680 0.868
0.369 0.320 0.368
0.951 0.631 0.368
0.631 0.951 0.868
0.680 0.049 0.368
0.049 0.369 0.632
0.369 0.049 0.132
0.631 0.680 0.632
0.320 0.369 0.868
```

Results
Formation energy without anion corrections   -3.2274 eV per atom
E_tot   -8.775 eV/atom
Calculated volume   17.131 Å³/atom

Compound: TmPuSc2P4
Source: the Alexandria database
Functional: GGA-PBE
Structure: relaxed

The structure in POSCAR format:
```
TmPuSc2P4
1.0
-0.510 -3.723 -0.945
4.462 -1.783 4.617
-3.109 -1.053 5.828
Tm Pu Sc P
1 1 2 4
direct
0.000 0.500 0.500
0.500 0.500 0.000
0.000 0.000 0.000
0.500 0.000 0.500
0.000 0.761 0.747
0.000 0.239 0.253
0.500 0.761 0.246
0.500 0.239 0.754
```

Results
Calculated formation energy   -1.418 eV/atom
E_tot   -8.056 eV/atom
Calculated volume   20.343 Å³/atom

Compound: Th3Si3Ni2
Source: the Alexandria database
Functional: GGA-PBE
Structure: relaxed

The structure in POSCAR format:
```
Th3Si3Ni2
1.0
4.240 0.000 0.000
-2.120 5.215 0.000
0.000 0.000 14.448
Th Si Ni
6 6 4
direct
0.909 0.818 0.390
0.091 0.182 0.890
0.909 0.818 0.110
0.091 0.182 0.610
0.621 0.243 0.250
0.379 0.757 0.750
0.619 0.238 0.460
0.381 0.762 0.960
0.619 0.238 0.040
0.381 0.762 0.540
0.323 0.645 0.250
0.677 0.355 0.750
0.797 0.593 0.906
0.203 0.407 0.406
0.797 0.593 0.594
0.203 0.407 0.094
```

Results
Formation energy without anion corrections   -0.7316 eV per atom
E_tot   -6.993 eV/atom
Calculated volume   19.970 Å³/atom

Compound: Mg10Hg3Au3
Source: the Alexandria database
Functional: GGA-PBE
Structure: relaxed

The structure in POSCAR format:
```
Mg10Hg3Au3
1.0
-1.708 5.572 -0.588
-5.487 -2.265 -5.526
-2.006 0.214 7.856
Mg Hg Au
10 3 3
direct
0.242 0.667 0.333
0.242 0.333 0.667
0.758 0.333 0.667
0.758 0.667 0.333
0.500 0.000 0.749
0.500 0.749 0.000
0.500 0.251 0.251
0.000 0.000 0.251
0.000 0.251 0.000
0.000 0.749 0.749
0.500 0.000 0.392
0.500 0.392 0.000
0.500 0.608 0.608
0.000 0.000 0.612
0.000 0.612 0.000
0.000 0.388 0.388
```

Results
Calculated formation energy   -0.359 eV/atom
E_tot   -2.027 eV/atom
Calculated volume   20.855 Å³/atom

What did the second record say?
Compound: KIrSe2
Source: the Alexandria database
Functional: GGA-PBE
Structure: relaxed

The structure in POSCAR format:
```
KIrSe2
1.0
10.748 0.000 -0.002
0.000 3.663 0.000
-9.831 0.000 13.718
K Ir Se
4 4 8
direct
0.500 0.500 0.500
0.500 0.000 0.000
0.000 0.000 0.000
0.000 0.500 0.500
0.613 0.000 0.821
0.387 0.000 0.179
0.613 0.500 0.321
0.387 0.500 0.679
0.299 0.000 0.552
0.701 0.000 0.448
0.299 0.500 0.052
0.701 0.500 0.948
0.337 0.000 0.756
0.663 0.000 0.244
0.337 0.500 0.256
0.663 0.500 0.744
```

Results
Formation energy without anion corrections   -0.5132 eV per atom
E_tot   -4.745 eV/atom
Calculated volume   33.752 Å³/atom